(1)
# AsPtBr2

A relaxed AsPtBr2 crystal (GGA-PBE, the Alexandria database).

Calculated values
The energy above the most stable polymorph in this dataset is 114 kJ/mol of formula units. As for the space-group type: P4mm, No. 99. Its formation energy without anion corrections is -0.2 eV/f.u. Its electronic total energy is -3.549 eV per atom.

Unit cell a=3.620 b=3.620 c=8.192 alpha=90.00 beta=90.00 gamma=90.00
Atoms (fractional coordinates):
As (0.000, 0.000, 0.000)
Pt (0.500, 0.500, 0.059)
Br (0.000, 0.000, 0.711)
Br (0.500, 0.500, 0.361)

***

(2)
# AsPtBr3

A relaxed AsPtBr3 crystal (GGA-PBE, the Alexandria database).

Calculated values
The energy above the most stable polymorph in this dataset is 134 kJ/mol of formula units. As for the space-group type: Pm-3m, No. 221. Its formation energy without anion corrections is 3.6 eV/f.u. Its electronic total energy is -2.429 eV per atom.

Unit cell a=5.255 b=5.255 c=5.255 alpha=90.00 beta=90.00 gamma=90.00
Atoms (fractional coordinates):
As (0.000, 0.000, 0.000)
Pt (0.500, 0.500, 0.500)
Br (0.000, 0.000, 0.500)
Br (0.000, 0.500, 0.000)
Br (0.500, 0.000, 0.000)

***

(3)
# As2PtBr

A relaxed As2PtBr crystal (GGA-PBE, the Alexandria database).

Calculated values
The energy above the most stable polymorph in this dataset is 92 kJ/mol of formula units. As for the space-group type: Pm, No. 6. Its formation energy without anion corrections is -0.2 eV/f.u. Its electronic total energy is -4.311 eV per atom.

Unit cell a=4.477 b=3.707 c=7.032 alpha=90.00 beta=98.05 gamma=90.00
Atoms (fractional coordinates):
As (0.000, 0.000, 0.000)
As (0.357, 0.500, 0.917)
Pt (0.821, 0.500, 0.754)
Br (0.687, 0.000, 0.496)

***

(4)
# As2PtBr

A relaxed As2PtBr crystal (GGA-PBE, the Alexandria database).

Calculated values
The energy above the most stable polymorph in this dataset is 134 kJ/mol of formula units. As for the space-group type: P4/mmm, No. 123. Its formation energy without anion corrections is 0.2 eV/f.u. Its electronic total energy is -4.201 eV per atom.

Unit cell a=3.022 b=3.022 c=10.102 alpha=90.00 beta=90.00 gamma=90.00
Atoms (fractional coordinates):
As (0.000, 0.000, 0.165)
As (0.000, 0.000, 0.835)
Pt (0.500, 0.500, 0.000)
Br (0.500, 0.500, 0.500)

***

(5)
# As2PtBr

A relaxed As2PtBr crystal (GGA-PBE, the Alexandria database).

Calculated values
The energy above the most stable polymorph in this dataset is 136 kJ/mol of formula units. As for the space-group type: I-42d, No. 122. Its formation energy without anion corrections is 0.2 eV/f.u. Its electronic total energy is -4.197 eV per atom.

Unit cell a=6.471 b=6.471 c=10.605 alpha=90.00 beta=90.00 gamma=90.00
Atoms (fractional coordinates):
As (0.178, 0.250, 0.125)
As (0.250, 0.678, 0.375)
As (0.250, 0.822, 0.875)
As (0.322, 0.250, 0.625)
As (0.678, 0.750, 0.625)
As (0.750, 0.178, 0.875)
As (0.750, 0.322, 0.375)
As (0.822, 0.750, 0.125)
Pt (0.000, 0.000, 0.000)
Pt (0.000, 0.500, 0.250)
Pt (0.500, 0.000, 0.750)
Pt (0.500, 0.500, 0.500)
Br (0.000, 0.000, 0.500)
Br (0.000, 0.500, 0.750)
Br (0.500, 0.000, 0.250)
Br (0.500, 0.500, 0.000)

***

(6)
# AsPtBr2

A relaxed AsPtBr2 crystal (GGA-PBE, the Alexandria database).

Calculated values
The energy above the most stable polymorph in this dataset is 312 kJ/mol of formula units. As for the space-group type: Cmmm, No. 65. Its formation energy without anion corrections is 1.9 eV/f.u. Its electronic total energy is -3.034 eV per atom.

Unit cell a=3.349 b=6.271 c=9.076 alpha=90.00 beta=90.00 gamma=90.00
Atoms (fractional coordinates):
As (0.000, 0.000, 0.000)
As (0.500, 0.500, 0.000)
Pt (0.000, 0.000, 0.500)
Pt (0.500, 0.500, 0.500)
Br (0.000, 0.500, 0.293)
Br (0.000, 0.500, 0.707)
Br (0.500, 0.000, 0.293)
Br (0.500, 0.000, 0.707)

***

- The highest energy above the most stable polymorph in this dataset belongs to which entry?
  number 6

***

- What is the formula in the sixth record?
  AsPtBr2

***

Repeat the fourth record exactly.
# As2PtBr

A relaxed As2PtBr crystal (GGA-PBE, the Alexandria database).

Calculated values
The energy above the most stable polymorph in this dataset is 134 kJ/mol of formula units. As for the space-group type: P4/mmm, No. 123. Its formation energy without anion corrections is 0.2 eV/f.u. Its electronic total energy is -4.201 eV per atom.

Unit cell a=3.022 b=3.022 c=10.102 alpha=90.00 beta=90.00 gamma=90.00
Atoms (fractional coordinates):
As (0.000, 0.000, 0.165)
As (0.000, 0.000, 0.835)
Pt (0.500, 0.500, 0.000)
Br (0.500, 0.500, 0.500)

***

- The lowest electronic total energy belongs to which entry?
  number 3